Here is a relaxed NiBiP2O crystal from Alexandria. Energies are from PBE with a Hubbard U.

Unit cell a=4.7251 b=4.7251 c=3.6698 alpha=90.00 beta=90.00 gamma=90.00
Last column: nearest neighbours and their distance in Å.
Space group P4/mmm (No. 123)
Asymmetric unit:
Ni 0.0000 0.0000 0.0000 (multiplicity 1)  2 O 1.83
Bi 0.5000 0.5000 0.5000 (multiplicity 1)  8 P 2.99, 4 O 3.34
P 0.0000 0.5000 0.0000 (multiplicity 2)  2 Ni 2.36
O 0.0000 0.0000 0.5000 (multiplicity 1)  2 Ni 1.83

Output
- relative energy among the computed polymorphs (meV/atom) = 0
- mass density (Mg/m³) = 7.00
- V (Å³/atom) = 16.39
- M_tot (μB per formula unit) = 0.1

=====

Here is a relaxed Ac2FeSiO6 crystal from Alexandria. Energies are from PBE with a Hubbard U.

Unit cell a=5.5096 b=5.5096 c=4.0786 alpha=90.00 beta=90.00 gamma=90.00
Last column: nearest neighbours and their distance in Å.
Space group P4mm (No. 99)
Asymmetric unit:
Ac 0.0000 0.5000 0.0000 (multiplicity 2)  12 O 2.71-2.94
Fe 0.0000 0.0000 0.5178 (multiplicity 1)  6 O 2.03-2.14
Si 0.5000 0.5000 0.4830 (multiplicity 1)  5 O 1.72-1.77
O 0.0000 0.0000 0.0203 (multiplicity 1)  2 Fe 2.03-2.05
O 0.2750 0.2750 0.5388 (multiplicity 4)  1 Si 1.77
O 0.5000 0.5000 0.0605 (multiplicity 1)  1 Si 1.72

Output
- mass density (Mg/m³) = 8.50
- V (Å³/atom) = 12.38
- DFT total energy (eV/atom) = -7.627
- M_tot (μB per formula unit) = 4.0